VASP calculation (GGA+U) on an optimized crystal structure of AlVPbF6.

Summary:
VASP energy	-5.5628	eV/atom
DOS at the Fermi energy	5.495	states/eV/cell
space-group type	P-31c (163)

a = 5.378 Å, b = 5.378 Å, c = 11.390 Å
α = 90.00°, β = 90.00°, γ = 120.00°
Fractional coordinates of all 18 atoms:
Al: 0.333 0.667 0.250
Al: 0.667 0.333 0.750
V: 0.333 0.667 0.750
V: 0.667 0.333 0.250
Pb: 0.000 0.000 0.000
Pb: 0.000 0.000 0.500
F: 0.040 0.387 0.162
F: 0.040 0.653 0.338
F: 0.347 0.387 0.338
F: 0.347 0.960 0.162
F: 0.387 0.040 0.662
F: 0.387 0.347 0.838
F: 0.613 0.653 0.162
F: 0.613 0.960 0.338
F: 0.653 0.040 0.838
F: 0.653 0.613 0.662
F: 0.960 0.347 0.662
F: 0.960 0.613 0.838